(1)
Here is a crystal of CdTeBrN2 relaxed with PBEsol from Alexandria. Energies are from meta-GGA SCAN.

For the total magnetization, the calculation gives 4.42 μB/f.u. For the uncorrected formation energy, the calculation gives 695.7 kJ/mol of formula units. Its space group is P4/mmm (123).

a = 4.306 Å, b = 4.306 Å, c = 6.187 Å
α = 90.00°, β = 90.00°, γ = 90.00°
Each line ends with the local moment (μB).
Fractional positions:
N1 0.000 0.500 0.000  1.40
N2 0.500 0.000 0.000  1.40
Te1 0.000 0.000 0.500  0.14
Br1 0.500 0.500 0.500  0.03
Cd1 0.000 0.000 0.000  0.07

(2)
Here is a crystal of CdNi2Br relaxed with PBEsol from Alexandria. Energies are from meta-GGA SCAN.

For the total magnetization, the calculation gives 0.01 μB/f.u. For the uncorrected formation energy, the calculation gives 168.3 kJ/mol of formula units. Its space group is R-3m (166).

a = 3.077 Å, b = 3.077 Å, c = 7.719 Å
α = 78.50°, β = 78.50°, γ = 60.00°
Fractional positions:
Ni1 0.245 0.245 0.265
Ni2 0.755 0.755 0.735
Br1 0.500 0.500 0.500
Cd1 0.000 0.000 0.000

(3)
Here is a crystal of CdNi3Br relaxed with PBEsol from Alexandria. Energies are from meta-GGA SCAN.

For the total magnetization, the calculation gives 3.42 μB/f.u. For the uncorrected formation energy, the calculation gives 613.7 kJ/mol of formula units. Its space group is Pm-3m (221).

a = 4.670 Å, b = 4.670 Å, c = 4.670 Å
α = 90.00°, β = 90.00°, γ = 90.00°
Each line ends with the local moment (μB).
Fractional positions:
Ni1 0.500 0.000 0.000  1.07
Ni2 0.000 0.500 0.000  1.07
Ni3 0.000 0.000 0.500  1.07
Br1 0.500 0.500 0.500  0.11
Cd1 0.000 0.000 0.000  -0.05

(4)
Here is a crystal of CdNiSe2Br relaxed with PBEsol from Alexandria. Energies are from meta-GGA SCAN.

For the total magnetization, the calculation gives 0.00 μB/f.u. For the uncorrected formation energy, the calculation gives 48.0 kJ/mol of formula units. Its space group is P4/mmm (123).

a = 4.691 Å, b = 4.691 Å, c = 4.825 Å
α = 90.00°, β = 90.00°, γ = 90.00°
Fractional positions:
Br1 0.000 0.000 0.500
Se1 0.000 0.500 0.000
Se2 0.500 0.000 0.000
Ni1 0.000 0.000 0.000
Cd1 0.500 0.500 0.500

(5)
Here is a crystal of Cd2BrO relaxed with PBEsol from Alexandria. Energies are from meta-GGA SCAN.

For the total magnetization, the calculation gives 0.00 μB/f.u. For the uncorrected formation energy, the calculation gives -15.1 kJ/mol of formula units. Its space group is Fm-3m (225).

a = 4.667 Å, b = 4.667 Å, c = 4.667 Å
α = 60.00°, β = 60.00°, γ = 60.00°
Fractional positions:
Br1 0.500 0.500 0.500
Cd1 0.750 0.750 0.750
Cd2 0.250 0.250 0.250
O1 0.000 0.000 0.000

(6)
Here is a crystal of CdBr2O4 relaxed with PBEsol from Alexandria. Energies are from meta-GGA SCAN.

For the total magnetization, the calculation gives 0.00 μB/f.u. For the uncorrected formation energy, the calculation gives -125.9 kJ/mol of formula units. Its space group is P2_1/c (14).

a = 3.569 Å, b = 6.603 Å, c = 9.254 Å
α = 90.00°, β = 90.00°, γ = 94.37°
Fractional positions:
Br1 0.069 0.514 0.676
Br2 0.431 0.986 0.176
Br3 0.931 0.486 0.324
Br4 0.569 0.014 0.824
O1 0.514 0.085 0.354
O2 0.847 0.317 0.573
O3 0.153 0.683 0.427
O4 0.014 0.585 0.146
O5 0.986 0.415 0.854
O6 0.347 0.817 0.927
O7 0.486 0.915 0.646
O8 0.653 0.183 0.073
Cd1 0.500 0.500 0.000
Cd2 0.000 0.000 0.500

(7)
Here is a crystal of CdOsBr3 relaxed with PBEsol from Alexandria. Energies are from meta-GGA SCAN.

For the total magnetization, the calculation gives 0.87 μB/f.u. For the uncorrected formation energy, the calculation gives 193.9 kJ/mol of formula units. Its space group is Pm-3m (221).

a = 5.000 Å, b = 5.000 Å, c = 5.000 Å
α = 90.00°, β = 90.00°, γ = 90.00°
Each line ends with the local moment (μB).
Fractional positions:
Br1 0.000 0.500 0.000  0.01
Br2 0.000 0.000 0.500  0.01
Br3 0.500 0.000 0.000  0.01
Cd1 0.500 0.500 0.500  -0.07
Os1 0.000 0.000 0.000  0.83

(8)
Here is a crystal of CdOsBr4 relaxed with PBEsol from Alexandria. Energies are from meta-GGA SCAN.

For the total magnetization, the calculation gives 2.07 μB/f.u. For the uncorrected formation energy, the calculation gives 905.6 kJ/mol of formula units. Its space group is F-43m (216).

a = 5.984 Å, b = 5.984 Å, c = 5.984 Å
α = 60.00°, β = 60.00°, γ = 60.00°
Each line ends with the local moment (μB).
Fractional positions:
Br1 0.374 0.374 0.877  -0.25
Br2 0.374 0.374 0.374  -0.25
Br3 0.877 0.374 0.374  -0.25
Br4 0.374 0.877 0.374  -0.25
Os1 0.000 0.000 0.000  2.92
Cd1 0.750 0.750 0.750  -0.20

(9)
Here is a crystal of Cd2PBr relaxed with PBEsol from Alexandria. Energies are from meta-GGA SCAN.

For the total magnetization, the calculation gives 0.00 μB/f.u. For the uncorrected formation energy, the calculation gives 23.0 kJ/mol of formula units. Its space group is P4/mmm (123).

a = 3.405 Å, b = 3.405 Å, c = 7.307 Å
α = 90.00°, β = 90.00°, γ = 90.00°
Fractional positions:
P1 0.500 0.500 0.000
Cd1 0.000 0.000 0.210
Cd2 0.000 0.000 0.790
Br1 0.500 0.500 0.500

(10)
Here is a crystal of Cd2PBr relaxed with PBEsol from Alexandria. Energies are from meta-GGA SCAN.

For the total magnetization, the calculation gives 0.00 μB/f.u. For the uncorrected formation energy, the calculation gives -92.4 kJ/mol of formula units. Its space group is P4mm (99).

a = 3.765 Å, b = 3.765 Å, c = 6.866 Å
α = 90.00°, β = 90.00°, γ = 90.00°
Fractional positions:
P1 0.000 0.000 0.344
Cd1 0.000 0.000 0.984
Cd2 0.500 0.500 0.364
Br1 0.500 0.500 0.809

(11)
Here is a crystal of Cd2PBr relaxed with PBEsol from Alexandria. Energies are from meta-GGA SCAN.

For the total magnetization, the calculation gives 0.00 μB/f.u. For the uncorrected formation energy, the calculation gives -55.3 kJ/mol of formula units. Its space group is Imm2 (44).

a = 3.607 Å, b = 3.802 Å, c = 7.288 Å
α = 105.12°, β = 104.33°, γ = 90.00°
Fractional positions:
Cd1 0.819 0.319 0.638
Cd2 0.008 0.008 0.016
P1 0.464 0.464 0.928
Br1 0.209 0.709 0.418

(12)
Here is a crystal of Cd2PBr relaxed with PBEsol from Alexandria. Energies are from meta-GGA SCAN.

For the total magnetization, the calculation gives 0.00 μB/f.u. For the uncorrected formation energy, the calculation gives -169.3 kJ/mol of formula units. Its space group is I-42d (122).

a = 6.051 Å, b = 6.051 Å, c = 7.589 Å
α = 113.49°, β = 113.49°, γ = 90.00°
Fractional positions:
P1 0.500 0.500 0.000
P2 0.750 0.250 0.500
Cd1 0.625 0.562 0.750
Cd2 0.438 0.875 0.250
Cd3 0.812 0.375 0.250
Cd4 0.125 0.188 0.750
Br1 0.250 0.750 0.500
Br2 0.000 0.000 0.000